Entry 1:
# AcZn2SiPd

A relaxed structure of AcZn2SiPd (PBE-GGA, the Alexandria database).

## Properties
Uncorrected energy   -4.02 eV per atom

extended XYZ file:
```
5
Lattice="-2.207 2.235 5.118 2.207 -2.235 5.118 2.207 2.235 -5.118" Properties=species:S:1:pos:R:3 pbc="T T T"
Ac 0.000 0.000 0.000
Zn 0.000 0.000 3.877
Zn 0.000 2.235 2.542
Si 0.000 0.000 6.402
Pd 2.207 0.000 2.416
```



Entry 2:
# AcZn2SiPd4

A relaxed structure of AcZn2SiPd4 (PBE-GGA, the Alexandria database).

## Properties
Uncorrected energy   -4.71 eV per atom

extended XYZ file:
```
8
Lattice="2.168 1.252 8.956 -2.168 1.252 8.956 0.000 -2.504 8.956" Properties=species:S:1:pos:R:3 pbc="T T T"
Ac 0.000 0.000 0.000
Zn 0.000 0.000 6.429
Zn 0.000 0.000 20.440
Si 0.000 0.000 13.434
Pd 0.000 0.000 3.700
Pd 0.000 0.000 10.995
Pd 0.000 0.000 15.873
Pd 0.000 0.000 23.168
```



Entry 3:
# AcZnSiPd3

A relaxed structure of AcZnSiPd3 (PBE-GGA, the Alexandria database).

## Properties
Uncorrected energy   -4.98 eV per atom

extended XYZ file:
```
12
Lattice="3.021 -7.366 0.000 3.021 7.366 0.000 0.000 0.000 5.964" Properties=species:S:1:pos:R:3 pbc="T T T"
Ac 3.021 4.379 4.473
Ac 3.021 -4.379 1.491
Zn 3.021 1.516 1.491
Zn 3.021 -1.516 4.473
Si 3.021 6.369 1.491
Si 3.021 -6.369 4.473
Pd 3.021 4.014 1.491
Pd 1.553 0.000 0.000
Pd 1.553 0.000 2.982
Pd 4.488 0.000 0.000
Pd 4.488 0.000 2.982
Pd 3.021 -4.014 4.473
```



Entry 4:
# AcZnSi2Pd2

A relaxed structure of AcZnSi2Pd2 (PBE-GGA, the Alexandria database).

## Properties
Uncorrected energy   -5.10 eV per atom

extended XYZ file:
```
6
Lattice="4.265 0.000 0.000 -2.132 3.693 0.000 0.000 0.000 7.310" Properties=species:S:1:pos:R:3 pbc="T T T"
Ac 0.000 0.000 0.000
Zn 0.000 0.000 3.655
Si 0.000 2.462 5.187
Si 2.132 1.231 2.123
Pd 0.000 2.462 2.580
Pd 2.132 1.231 4.731
```



Entry 5:
# Ac2ZnSi3Pd4

A relaxed structure of Ac2ZnSi3Pd4 (PBE-GGA, the Alexandria database).

## Properties
Uncorrected energy   -5.47 eV per atom

extended XYZ file:
```
10
Lattice="4.389 0.000 0.000 0.000 4.389 0.000 0.000 0.000 10.219" Properties=species:S:1:pos:R:3 pbc="T T T"
Ac 0.000 2.195 2.525
Ac 2.195 0.000 7.695
Zn 2.195 2.195 0.000
Si 0.000 0.000 0.000
Si 0.000 2.195 6.364
Si 2.195 0.000 3.855
Pd 0.000 0.000 5.110
Pd 0.000 2.195 8.879
Pd 2.195 0.000 1.341
Pd 2.195 2.195 5.110
```



Entry 6:
# Ac2Zn3SiPd4

A relaxed structure of Ac2Zn3SiPd4 (PBE-GGA, the Alexandria database).

## Properties
Uncorrected energy   -4.51 eV per atom

extended XYZ file:
```
10
Lattice="4.554 0.000 0.000 0.000 4.554 0.000 0.000 0.000 9.861" Properties=species:S:1:pos:R:3 pbc="T T T"
Ac 0.000 2.277 2.414
Ac 2.277 0.000 7.447
Zn 0.000 2.277 8.617
Zn 2.277 0.000 1.244
Zn 2.277 2.277 4.930
Si 0.000 0.000 4.930
Pd 0.000 0.000 0.000
Pd 0.000 2.277 6.029
Pd 2.277 0.000 3.831
Pd 2.277 2.277 0.000
```